DFT (PBE+U) results for a relaxed CsKCoF6 crystal.

abc: 6.4100 6.4100 10.1775
angles: 90.00 90.00 120.00
Fractional positions:
1 Co 0.6667 0.3333 0.2500
2 Co 0.3333 0.6667 0.7500
3 Cs 0.0000 0.0000 0.0000
4 Cs 0.0000 0.0000 0.5000
5 F 0.3364 0.9018 0.6491
6 F 0.0982 0.6636 0.8509
7 F 0.6636 0.5653 0.1491
8 F 0.4347 0.0982 0.1491
9 F 0.9018 0.3364 0.1491
10 F 0.3364 0.4347 0.8509
11 F 0.5653 0.6636 0.6491
12 F 0.4347 0.3364 0.3509
13 F 0.5653 0.9018 0.8509
14 F 0.9018 0.5653 0.3509
15 F 0.6636 0.0982 0.3509
16 F 0.0982 0.4347 0.6491
17 K 0.3333 0.6667 0.2500
18 K 0.6667 0.3333 0.7500

## Properties
* total energy: -4.2826 eV per atom
* calculated volume: 20.119 Å³ per atom